Entry 1:
A plane-wave DFT calculation with PBE was carried out for an optimized crystal structure of HoZn9In2.

Calculated values
**DOS at the Fermi energy**: 3.462 states/eV per cell
**Total DFT energy (no corrections)**: -1.889 eV/atom
**Energy relative to the elements**: -0.0957 eV per atom
**Space-group type**: R-3m
**Size of the total moment**: 0.00 Bohr magnetons per cell

a = 5.418 Å, b = 5.418 Å, c = 8.973 Å
α = 72.43°, β = 72.43°, γ = 60.00°
Fractional positions:
Ho1 0.000 0.000 0.000
Zn1 0.919 0.416 0.248
Zn2 0.584 0.584 0.752
Zn3 0.332 0.332 0.003
Zn4 0.416 0.416 0.248
Zn5 0.500 0.500 0.500
Zn6 0.668 0.668 0.997
Zn7 0.081 0.584 0.752
Zn8 0.416 0.919 0.248
Zn9 0.584 0.081 0.752
In1 0.138 0.138 0.586
In2 0.862 0.862 0.414

---

Entry 2:
A plane-wave DFT calculation with PBE was carried out for an optimized crystal structure of Ho3Zn4In2.

Calculated values
**DOS at the Fermi energy**: 5.075 states/eV per cell
**Total DFT energy (no corrections)**: -3.109 eV/atom
**Energy relative to the elements**: -0.4087 eV per atom
**Space-group type**: C2/m
**Size of the total moment**: 0.00 Bohr magnetons per cell

a = 4.617 Å, b = 5.803 Å, c = 8.767 Å
α = 112.62°, β = 90.00°, γ = 113.44°
Fractional positions:
Zn1 0.071 0.142 0.414
Zn2 0.929 0.858 0.586
Zn3 0.715 0.430 0.037
Zn4 0.285 0.570 0.963
In1 0.615 0.230 0.279
In2 0.385 0.770 0.721
Ho1 0.664 0.327 0.674
Ho2 0.336 0.673 0.326
Ho3 0.000 0.000 0.000

---

Entry 3:
A plane-wave DFT calculation with PBE was carried out for an optimized crystal structure of Ho12ZnIn6.

Calculated values
**DOS at the Fermi energy**: 20.211 states/eV per cell
**Total DFT energy (no corrections)**: -3.819 eV/atom
**Energy relative to the elements**: 0.0043 eV per atom
**Space-group type**: R-3
**Size of the total moment**: 0.00 Bohr magnetons per cell

a = 8.742 Å, b = 8.742 Å, c = 8.742 Å
α = 100.03°, β = 100.03°, γ = 100.03°
Fractional positions:
Ho1 0.433 0.819 0.570
Ho2 0.958 0.317 0.059
Ho3 0.941 0.042 0.683
Ho4 0.317 0.059 0.958
Ho5 0.181 0.430 0.567
Ho6 0.570 0.433 0.819
Ho7 0.430 0.567 0.181
Ho8 0.683 0.941 0.042
Ho9 0.042 0.683 0.941
Ho10 0.059 0.958 0.317
Ho11 0.567 0.181 0.430
Ho12 0.819 0.570 0.433
In1 0.378 0.697 0.866
In2 0.866 0.378 0.697
In3 0.697 0.866 0.378
In4 0.134 0.622 0.303
In5 0.622 0.303 0.134
In6 0.303 0.134 0.622
Zn1 0.000 0.000 0.000